SmInPt, optimized geometry, DFT PBE; formation energy from the elements = -100 kJ/mol of formula units; total magnetization = 0.00 μB/cell; SG = P-6m2, No. 187
1.0
-4.811 -5.350 -4.465
2.973 -2.304 7.587
-2.981 1.361 1.582
Sm In Pt
3 3 3
direct
0.000 0.667 0.500
0.667 0.000 0.500
0.333 0.333 0.500
0.000 0.333 0.000
0.667 0.667 0.000
0.333 0.000 0.000
0.000 0.000 0.500
0.667 0.333 0.500
0.333 0.667 0.500



Sm6InPt2, optimized geometry, DFT PBE; formation energy from the elements = -585 kJ/mol of formula units; total magnetization = 0.00 μB/cell; SG = Immm, No. 71
1.0
-1.601 -7.932 -3.373
7.474 3.610 -2.822
1.006 -0.504 8.694
Sm In Pt
12 2 4
direct
0.526 0.708 0.817
0.474 0.292 0.183
0.109 0.292 0.817
0.891 0.708 0.183
0.801 0.765 0.566
0.199 0.235 0.434
0.199 0.765 0.964
0.801 0.235 0.036
0.695 0.367 0.671
0.305 0.633 0.329
0.305 0.976 0.671
0.695 0.024 0.329
0.000 0.500 0.500
0.000 0.000 0.000
0.500 0.368 0.868
0.500 0.632 0.132
0.658 0.000 0.658
0.342 0.000 0.342



Sm2InPt9, optimized geometry, DFT PBE; formation energy from the elements = -850 kJ/mol of formula units; total magnetization = 0.00 μB/cell; SG = P4/mmm, No. 123
1.0
4.143 0.000 0.000
0.000 4.143 0.000
0.000 0.000 12.333
Sm In Pt
2 1 9
direct
0.000 0.000 0.331
0.000 0.000 0.669
0.000 0.000 0.000
0.500 0.500 0.000
0.500 0.500 0.329
0.500 0.500 0.671
0.500 0.000 0.159
0.500 0.000 0.500
0.500 0.000 0.841
0.000 0.500 0.159
0.000 0.500 0.500
0.000 0.500 0.841



SmIn2Pt, optimized geometry, DFT PBE; formation energy from the elements = -9 kJ/mol of formula units; total magnetization = 0.00 μB/cell; SG = R-3m, No. 166
1.0
3.560 0.000 0.000
1.780 3.083 0.000
1.780 1.028 10.081
Sm Pt In
1 1 2
direct
0.000 0.000 0.000
0.500 0.500 0.500
0.106 0.106 0.682
0.894 0.894 0.318



Sm2InPt, optimized geometry, DFT PBE; relative energy among the computed polymorphs = 115 meV/atom; formation energy from the elements = -263 kJ/mol of formula units; total magnetization = 0.00 μB/cell; SG = Fm-3m, No. 225
1.0
-4.517 2.048 -1.687
-2.968 -2.651 -3.408
-4.556 -2.070 1.551
Sm Pt In
2 1 1
direct
0.250 0.250 0.250
0.750 0.750 0.750
0.500 0.500 0.500
0.000 0.000 0.000



Sm3In7Pt4, optimized geometry, DFT PBE; formation energy from the elements = -959 kJ/mol of formula units; total magnetization = 0.00 μB/cell; SG = C2/m, No. 12
1.0
4.303 0.000 1.086
1.572 8.095 2.841
-0.014 0.007 9.125
Sm In Pt
3 7 4
direct
0.306 0.184 0.204
0.694 0.816 0.796
0.000 0.500 0.500
0.318 0.839 0.526
0.492 0.224 0.791
0.837 0.397 0.930
0.682 0.161 0.474
0.163 0.603 0.070
0.000 0.000 0.000
0.508 0.776 0.209
0.660 0.443 0.236
0.340 0.557 0.764
0.883 0.899 0.335
0.117 0.101 0.665



SmInPt, optimized geometry, DFT PBE; formation energy from the elements = -260 kJ/mol of formula units; total magnetization = 0.00 μB/cell; SG = C2/m, No. 12
1.0
-2.287 -1.300 -3.593
3.058 0.243 -4.794
1.485 -6.139 -1.483
Sm In Pt
2 2 2
direct
0.433 0.302 0.832
0.567 0.698 0.168
0.829 0.761 0.582
0.171 0.239 0.418
0.846 0.129 0.179
0.154 0.871 0.821



SmInPt, optimized geometry, DFT PBE; formation energy from the elements = -284 kJ/mol of formula units; total magnetization = 0.00 μB/cell; SG = P-62m, No. 189
1.0
3.928 0.000 0.000
0.000 6.729 -3.885
0.000 0.000 7.771
Sm In Pt
3 3 3
direct
0.500 0.408 0.408
0.500 0.000 0.592
0.500 0.592 0.000
0.000 0.742 0.742
0.000 0.000 0.258
0.000 0.258 0.000
0.000 0.333 0.667
0.000 0.667 0.333
0.500 0.000 0.000